1.
VASP calculation (PBE) on an optimized crystal structure of DyCd14Hg.

Calculated values
* density of states at the Fermi level: 0.443 states/eV per atom
* formation enthalpy at 0 K: -64 kJ/mol of formula units
* size of the total moment: 0.00 μB per formula unit

Geometry as POSCAR:
```
DyCd14Hg
1.0
6.5874 0.0000 0.0000
0.0000 6.5874 0.0000
0.0000 0.0000 8.5837
Dy Cd Hg
1 14 1
direct
0.0000 0.0000 0.0000
0.0000 0.0000 0.5000
0.0000 0.5000 0.0000
0.0000 0.5000 0.5000
0.2528 0.2528 0.2548
0.2528 0.2528 0.7452
0.2528 0.7472 0.2548
0.2528 0.7472 0.7452
0.5000 0.0000 0.0000
0.5000 0.0000 0.5000
0.5000 0.5000 0.5000
0.7472 0.2528 0.2548
0.7472 0.2528 0.7452
0.7472 0.7472 0.2548
0.7472 0.7472 0.7452
0.5000 0.5000 0.0000
```

***

2.
VASP calculation (PBE) on an optimized crystal structure of DyCdHg2.

Calculated values
* density of states at the Fermi level: 0.772 states/eV per atom
* formation enthalpy at 0 K: -138 kJ/mol of formula units
* size of the total moment: 0.00 μB per formula unit

Geometry as POSCAR:
```
DyCdHg2
1.0
0.0000 3.6059 3.6059
3.6059 0.0000 3.6059
3.6059 3.6059 0.0000
Dy Cd Hg
1 1 2
direct
0.0000 0.0000 0.0000
0.5000 0.5000 0.5000
0.2500 0.2500 0.2500
0.7500 0.7500 0.7500
```

***

> Look up the density of states at the Fermi level of the first one.

0.443 states/eV per atom